(1)
Compound: Pr3NdDy6
Source: Alexandria via LeMat-Bulk
Functional: GGA-PBE
Structure: optimized geometry

Values from the calculation:
- formation energy from the elements (eV/atom) = 0.291
- energy above the most stable polymorph in this dataset (meV/atom) = 144

The structure in POSCAR format:
```
Pr3NdDy6
1.0
4.989 2.880 3.918
-4.989 2.880 3.918
0.000 -5.761 3.918
Pr Nd Dy
3 1 6
Direct
0.000 0.000 0.000
0.250 0.250 0.250
0.501 0.501 0.501
0.750 0.750 0.750
0.001 0.328 0.675
0.175 0.827 0.502
0.328 0.675 0.001
0.502 0.175 0.827
0.675 0.001 0.328
0.827 0.502 0.175
```

***

(2)
Compound: PrNd5Dy5
Source: Alexandria via LeMat-Bulk
Functional: GGA-PBE
Structure: optimized geometry

Values from the calculation:
- formation energy from the elements (eV/atom) = 0.282
- energy above the most stable polymorph in this dataset (meV/atom) = 32

The structure in POSCAR format:
```
PrNd5Dy5
1.0
6.166 0.000 0.000
-3.083 5.340 0.000
0.000 0.000 11.794
Pr Nd Dy
1 5 5
Direct
0.000 0.000 0.000
0.000 0.000 0.322
0.000 0.000 0.678
0.333 0.667 0.156
0.333 0.667 0.844
0.667 0.333 0.000
0.000 0.500 0.500
0.500 0.000 0.500
0.500 0.500 0.500
0.667 0.333 0.266
0.667 0.333 0.734
```

***

(3)
Compound: PrNd4Dy10
Source: Alexandria via LeMat-Bulk
Functional: GGA-PBE
Structure: optimized geometry

Values from the calculation:
- formation energy from the elements (eV/atom) = 0.437

The structure in POSCAR format:
```
PrNd4Dy10
1.0
-4.927 4.927 5.467
4.927 -4.927 5.467
4.927 4.927 -5.467
Pr Nd Dy
1 4 10
Direct
0.000 0.000 0.000
0.213 0.552 0.765
0.448 0.213 0.661
0.552 0.787 0.339
0.787 0.448 0.235
0.046 0.951 0.659
0.049 0.708 0.095
0.250 0.750 0.500
0.292 0.387 0.341
0.387 0.046 0.095
0.613 0.954 0.905
0.708 0.613 0.659
0.750 0.250 0.500
0.951 0.292 0.905
0.954 0.049 0.341
```

***

(4)
Compound: PrNd6Dy2
Source: Alexandria via LeMat-Bulk
Functional: GGA-PBE
Structure: optimized geometry

Values from the calculation:
- formation energy from the elements (eV/atom) = 0.187
- energy above the most stable polymorph in this dataset (meV/atom) = 171

The structure in POSCAR format:
```
PrNd6Dy2
1.0
6.595 -3.807 0.000
6.595 3.807 0.000
0.000 0.000 6.271
Pr Nd Dy
1 6 2
Direct
0.000 0.000 0.000
0.187 0.623 0.709
0.188 0.188 0.710
0.377 0.813 0.291
0.623 0.187 0.709
0.812 0.812 0.290
0.813 0.377 0.291
0.334 0.334 0.216
0.666 0.666 0.784
```